(1)
This record from the Alexandria database describes an optimized crystal structure of LaPO4. The functional is GGA-PBE.

The space group is Pnma (No. 62) and the conventional cell measures 7.4844, 5.2670 and 9.2088 Å, with angles of 90.00, 90.00 and 90.00 degrees. The distinct sites, in fractional coordinates, are La at (0.0162, 0.2500, 0.1973), P at (0.2469, 0.7500, 0.0799), O at (0.0363, 0.7500, 0.0822), O at (0.1913, 0.0071, 0.6582) and O at (0.1997, 0.2500, 0.4175).

For the spin magnetization, the calculation gives 0.00 μB/atom. The calculation puts the raw formation energy at -3.0084 eV per atom.

=====

(2)
This record from the Alexandria database describes an optimized crystal structure of Tb3Dy2Tl3. The functional is GGA-PBE.

The space group is Immm (No. 71) and the conventional cell measures 3.7756, 5.3852 and 22.6440 Å, with angles of 90.00, 90.00 and 90.00 degrees. The distinct sites, in fractional coordinates, are Tb at (0.0000, 0.0000, 0.0000), Tb at (0.0000, 0.5000, 0.1259), Dy at (0.0000, 0.0000, 0.2350), Tl at (0.0000, 0.0000, 0.5000) and Tl at (0.0000, 0.5000, 0.3803).

For the spin magnetization, the calculation gives 0.00 μB/atom. The formation energy comes out at -26.2 kJ per mole of atoms.

=====

(3)
This record from the Alexandria database describes an optimized crystal structure of Pm4Ge6O19. The functional is GGA-PBE.

The space group is I23 (No. 197) and the conventional cell measures 8.7737, 8.7737 and 8.7737 Å, with angles of 90.00, 90.00 and 90.00 degrees. The distinct sites, in fractional coordinates, are Pm at (0.1607, 0.1607, 0.8393), Ge at (0.0000, 0.3367, 0.5000), O at (0.0000, 0.0000, 0.0000), O at (0.0000, 0.0000, 0.3503) and O at (0.0411, 0.3292, 0.2887).

For the spin magnetization, the calculation gives 0.08 μB/atom. The calculation puts the raw formation energy at -2.1831 eV per atom.

=====

(4)
This record from the Alexandria database describes an optimized crystal structure of CeGaAu3. The functional is GGA-PBE.

The space group is Pnma (No. 62) and the conventional cell measures 5.8669, 12.6608 and 5.7262 Å, with angles of 90.00, 90.00 and 90.00 degrees. The distinct sites, in fractional coordinates, are Ce at (0.0000, 0.0000, 0.0000), Ga at (0.1812, 0.2500, 0.1725), Au at (0.0142, 0.6087, 0.5141) and Au at (0.1548, 0.7500, 0.1427).

For the spin magnetization, the calculation gives 0.18 μB/atom. The formation energy comes out at -46.3 kJ per mole of atoms. Its energy above the most stable polymorph in this dataset is 1.93 kcal/mol of atoms.

=====

(5)
This record from the Alexandria database describes an optimized crystal structure of Sm6ErTmSc2. The functional is GGA-PBE.

The space group is C2/c (No. 15) and the conventional cell measures 9.0166, 14.9340 and 9.4486 Å, with angles of 90.00, 97.83 and 90.00 degrees. The distinct sites, in fractional coordinates, are Sm at (0.0621, 0.1760, 0.4475), Sm at (0.0988, 0.3965, 0.6180), Sm at (0.2136, 0.2261, 0.8168), Er at (0.0000, 0.0276, 0.7500), Tm at (0.0000, 0.4085, 0.2500) and Sc at (0.2485, 0.0502, 0.0475).

For the spin magnetization, the calculation gives 0.00 μB/atom. The formation energy comes out at 12.2 kJ per mole of atoms.

=====

(6)
This record from the Alexandria database describes an optimized crystal structure of Li2UO4. The functional is GGA-PBE.

The space group is Pnma (No. 62) and the conventional cell measures 10.6663, 6.1056 and 5.1800 Å, with angles of 90.00, 90.00 and 90.00 degrees. The distinct sites, in fractional coordinates, are Li at (0.0000, 0.0000, 0.0000), Li at (0.0763, 0.2500, 0.4598), U at (0.2383, 0.7500, 0.5126), O at (0.0858, 0.7500, 0.7149), O at (0.1023, 0.2500, 0.8263) and O at (0.1673, 0.0137, 0.2665).

For the spin magnetization, the calculation gives 0.00 μB/atom. Its energy above the most stable polymorph in this dataset is 0.00 kcal/mol of atoms. The calculation puts the raw formation energy at -2.7404 eV per atom.

=====

(7)
This record from the Alexandria database describes an optimized crystal structure of Ce2PuAs3Rh4. The functional is GGA-PBE.

The space group is P-4m2 (No. 115) and the conventional cell measures 4.1205, 4.1205 and 11.4405 Å, with angles of 90.00, 90.00 and 90.00 degrees. The distinct sites, in fractional coordinates, are Ce at (0.0000, 0.5000, 0.2296), Pu at (0.0000, 0.0000, 0.5000), As at (0.0000, 0.5000, 0.8744), As at (0.5000, 0.5000, 0.5000), Rh at (0.0000, 0.0000, 0.0000), Rh at (0.0000, 0.5000, 0.6620) and Rh at (0.5000, 0.5000, 0.0000).

For the spin magnetization, the calculation gives 0.69 μB/atom. The formation energy comes out at -83.7 kJ per mole of atoms.

=====

(8)
This record from the Alexandria database describes an optimized crystal structure of PmTm2Mg5. The functional is GGA-PBE.

The space group is I4/mmm (No. 139) and the conventional cell measures 5.2427, 5.2427 and 15.1218 Å, with angles of 90.00, 90.00 and 90.00 degrees. The distinct sites, in fractional coordinates, are Pm at (0.0000, 0.0000, 0.0000), Tm at (0.0000, 0.0000, 0.2567), Mg at (0.0000, 0.0000, 0.5000) and Mg at (0.0000, 0.5000, 0.1227).

For the spin magnetization, the calculation gives 0.00 μB/atom. The formation energy comes out at -7.1 kJ per mole of atoms.

=====

(9)
This record from the Alexandria database describes an optimized crystal structure of CrCuPb2. The functional is GGA-PBE.

The space group is Fm-3m (No. 225) and the conventional cell measures 7.0569, 7.0569 and 7.0569 Å, with angles of 90.00, 90.00 and 90.00 degrees. The distinct sites, in fractional coordinates, are Cr at (0.0000, 0.0000, 0.0000), Cu at (0.0000, 0.0000, 0.5000) and Pb at (0.2500, 0.2500, 0.2500).

For the spin magnetization, the calculation gives 1.14 μB/atom. The formation energy comes out at 44.6 kJ per mole of atoms. Its energy above the most stable polymorph in this dataset is 2.49 kcal/mol of atoms.

=====

(10)
This record from the Alexandria database describes an optimized crystal structure of ZrZn2Hg. The functional is GGA-PBE.

The space group is R-3m (No. 166, hexagonal axes) and the conventional cell measures 3.1315, 3.1315 and 28.1008 Å, with angles of 90.00, 90.00 and 120.00 degrees. The distinct sites, in fractional coordinates, are Zr at (0.0000, 0.0000, 0.0000), Zn at (0.0000, 0.0000, 0.2496) and Hg at (0.0000, 0.0000, 0.5000).

For the spin magnetization, the calculation gives 0.00 μB/atom. The formation energy comes out at 5.9 kJ per mole of atoms.

=====

(11)
This record from the Alexandria database describes an optimized crystal structure of NaB4Ir4. The functional is GGA-PBE.

The space group is P4_2/nmc (No. 137, origin choice 2) and the conventional cell measures 5.4265, 5.4265 and 7.2348 Å, with angles of 90.00, 90.00 and 90.00 degrees. The distinct sites, in fractional coordinates, are Na at (0.2500, 0.7500, 0.2500), B at (0.0729, 0.2500, 0.0994) and Ir at (0.0033, 0.7500, 0.6050).

For the spin magnetization, the calculation gives 0.00 μB/atom. The formation energy comes out at -21.9 kJ per mole of atoms. Its energy above the most stable polymorph in this dataset is 1.52 kcal/mol of atoms.

=====

(12)
This record from the Alexandria database describes an optimized crystal structure of AcSmSn2Au4. The functional is GGA-PBE.

The space group is R-3m (No. 166, hexagonal axes) and the conventional cell measures 5.0800, 5.0800 and 25.9210 Å, with angles of 90.00, 90.00 and 120.00 degrees. The distinct sites, in fractional coordinates, are Ac at (0.0000, 0.0000, 0.0000), Sm at (0.0000, 0.0000, 0.5000), Sn at (0.0000, 0.0000, 0.2471), Au at (0.0000, 0.0000, 0.1305) and Au at (0.0000, 0.0000, 0.3841).

For the spin magnetization, the calculation gives 0.00 μB/atom. The formation energy comes out at -66.9 kJ per mole of atoms.